1.
An optimized crystal structure of LaInSnBi. Source: the Alexandria database, functional GGA-PBE.

Unit cell a=4.7490 b=4.9163 c=4.9785 alpha=90.00 beta=90.00 gamma=90.00
Last column: nearest neighbours and their distance in Å.
Fractional coordinates of all 4 atoms:
La  0.0000  0.0000  0.0000  4 Bi 3.42, 4 Sn 3.44, 4 In 3.50
In  0.0000  0.5000  0.5000  4 Sn 3.42, 4 Bi 3.44, 4 La 3.50
Sn  0.5000  0.0000  0.5000  4 In 3.42, 4 La 3.44, 4 Bi 3.50
Bi  0.5000  0.5000  0.0000  4 La 3.42, 4 In 3.44, 4 Sn 3.50

ΔH_f (0 K) (eV per atom): -0.55
Symmetry: No. 47


2.
An optimized crystal structure of Cd2CuOs. Source: the Alexandria database, functional GGA-PBE.

Unit cell a=4.3494 b=4.3494 c=3.5241 alpha=90.00 beta=90.00 gamma=90.00
Last column: nearest neighbours and their distance in Å.
Fractional coordinates of all 4 atoms:
Cd  0.0000  0.5000  0.0000  4 Os 2.80, 4 Cu 2.80, 4 Cd 3.08
Cd  0.5000  0.0000  0.0000  4 Os 2.80, 4 Cu 2.80, 4 Cd 3.08
Cu  0.0000  0.0000  0.5000  8 Cd 2.80, 4 Os 3.08
Os  0.5000  0.5000  0.5000  8 Cd 2.80, 4 Cu 3.08

ΔH_f (0 K) (eV per atom): 0.48
Symmetry: No. 123


3.
An optimized crystal structure of Cu2GeAu6. Source: the Alexandria database, functional GGA-PBE.

Unit cell a=4.9152 b=4.9152 c=8.4817 alpha=103.55 beta=103.55 gamma=50.17
Last column: nearest neighbours and their distance in Å.
Fractional coordinates of all 9 atoms:
Cu  0.1782  0.1782  0.2337  10 Au 2.77-2.95, 2 Ge 3.03
Cu  0.8218  0.8218  0.7663  10 Au 2.77-2.95, 2 Ge 3.03
Ge  0.5000  0.5000  0.0000  8 Au 2.72-2.91, 4 Cu 3.03
Au  0.1623  0.1623  0.8981  3 Ge 2.80-2.91, 4 Cu 2.81-2.95, 5 Au 2.89-2.93
Au  0.1664  0.1664  0.5569  3 Cu 2.77-2.85, 9 Au 2.85-2.99
Au  0.4964  0.4964  0.6788  1 Ge 2.72, 3 Cu 2.80-2.81, 7 Au 2.85-2.99
Au  0.5036  0.5036  0.3212  1 Ge 2.72, 3 Cu 2.80-2.81, 7 Au 2.85-2.99
Au  0.8336  0.8336  0.4431  3 Cu 2.77-2.85, 9 Au 2.85-2.99
Au  0.8377  0.8377  0.1019  3 Ge 2.80-2.91, 4 Cu 2.81-2.95, 5 Au 2.89-2.93

ΔH_f (0 K) (eV per atom): 0.02
Symmetry: No. 12


4.
An optimized crystal structure of LaTePt4. Source: the Alexandria database, functional GGA-PBE.

Unit cell a=5.5165 b=5.5165 c=5.5165 alpha=60.00 beta=60.00 gamma=60.00
Last column: nearest neighbours and their distance in Å.
Fractional coordinates of all 6 atoms:
La  0.0000  0.0000  0.0000  12 Pt 3.23, 4 Te 3.38
Te  0.2500  0.2500  0.2500  12 Pt 3.23, 4 La 3.38
Pt  0.1249  0.6250  0.6250  6 Pt 2.76
Pt  0.6250  0.1249  0.6250  6 Pt 2.76
Pt  0.6250  0.6250  0.1249  6 Pt 2.76
Pt  0.6250  0.6250  0.6250  6 Pt 2.76

Symmetry: No. 216
Formation energy from raw total energies (eV per atom): -0.626


5.
An optimized crystal structure of KP2Os. Source: the Alexandria database, functional GGA-PBE.

Unit cell a=4.4895 b=4.4895 c=4.4895 alpha=60.00 beta=60.00 gamma=60.00
Last column: nearest neighbours and their distance in Å.
Fractional coordinates of all 4 atoms:
K  0.0000  0.0000  0.0000  8 P 2.75
P  0.2500  0.2500  0.2500  4 Os 2.75, 4 K 2.75
P  0.7500  0.7500  0.7500  4 Os 2.75, 4 K 2.75
Os  0.5000  0.5000  0.5000  8 P 2.75

ΔH_f (0 K) (eV per atom): 0.63
Symmetry: No. 225


6.
An optimized crystal structure of ThBeIr2. Source: the Alexandria database, functional GGA-PBE.

Unit cell a=5.7068 b=5.7068 c=5.7068 alpha=40.75 beta=40.75 gamma=40.75
Last column: nearest neighbours and their distance in Å.
Fractional coordinates of all 4 atoms:
Th  0.0000  0.0000  0.0000  6 Ir 2.95
Be  0.5000  0.5000  0.5000  6 Ir 2.42
Ir  0.2151  0.2151  0.2151  3 Be 2.42
Ir  0.7849  0.7849  0.7849  3 Be 2.42

ΔH_f (0 K) (eV per atom): -0.61
Symmetry: No. 166


7.
An optimized crystal structure of NiHg2SN. Source: the Alexandria database, functional GGA-PBE.

Unit cell a=5.2393 b=5.2393 c=3.4004 alpha=90.00 beta=90.00 gamma=90.00
Last column: nearest neighbours and their distance in Å.
Fractional coordinates of all 5 atoms:
Ni  0.0000  0.0000  0.0000  2 N 1.70
Hg  0.0000  0.5000  0.0000  2 Ni 2.62
Hg  0.5000  0.0000  0.0000  2 Ni 2.62
S  0.5000  0.5000  0.5000  8 Hg 3.12, 2 S 3.40
N  0.0000  0.0000  0.5000  2 Ni 1.70

Symmetry: No. 123
Formation energy from raw total energies (eV per atom): 0.533


8.
An optimized crystal structure of Ba2YAuO5. Source: the Alexandria database, functional GGA-PBE.

Unit cell a=7.2794 b=7.2794 c=12.1051 alpha=90.00 beta=90.00 gamma=151.02
Last column: nearest neighbours and their distance in Å.
Fractional coordinates of all 18 atoms:
Ba  0.0922  0.9078  0.5000  4 O 2.54-2.67
Ba  0.1499  0.8501  0.1170  7 O 2.62-2.92
Ba  0.8501  0.1499  0.6170  7 O 2.62-2.92
Ba  0.9078  0.0922  0.0000  4 O 2.54-2.67
Y  0.2081  0.7919  0.8402  4 O 2.15-2.41
Y  0.7919  0.2081  0.3402  4 O 2.15-2.41
Au  0.4785  0.5215  0.2634  3 O 2.06-2.12
Au  0.5215  0.4785  0.7634  3 O 2.06-2.12
O  0.0615  0.9385  0.8902  1 Y 2.15
O  0.2704  0.7296  0.4549  2 Y 2.31, 1 Ba 2.57
O  0.3338  0.6662  0.2162  1 Au 2.12
O  0.3762  0.6238  0.8031  1 Au 2.10
O  0.4831  0.5169  0.5988  1 Au 2.06
O  0.5169  0.4831  0.0988  1 Au 2.06
O  0.6238  0.3762  0.3031  1 Au 2.10
O  0.6662  0.3338  0.7162  1 Au 2.12
O  0.7296  0.2704  0.9549  2 Y 2.31, 1 Ba 2.57
O  0.9385  0.0615  0.3902  1 Y 2.15

Symmetry: No. 36
Formation energy from raw total energies (eV per atom): -2.063


| no. | total moment (Bohr magnetons per cell) |
| --- | --- |
| 1 | 0.00 |
| 2 | 0.00 |
| 3 | 0.00 |
| 4 | 0.00 |
| 5 | 0.00 |
| 6 | 0.00 |
| 7 | 0.00 |
| 8 | 0.00 |